1.
Density functional theory data (meta-GGA SCAN) for a PBEsol-optimized structure of Li2CrRh.

```
Li2CrRh
1.0
2.736 0.000 0.000
0.000 3.596 0.000
0.000 0.000 5.691
Li Cr Rh
2 1 1
Direct
0.000 0.000 0.000
0.500 0.500 0.248
0.500 0.500 0.700
0.000 0.000 0.529
```

Calculated values
SG = Pmm2 (25)



2.
Density functional theory data (meta-GGA SCAN) for a PBEsol-optimized structure of LiCr2Rh.

```
LiCr2Rh
1.0
4.240 0.000 0.000
0.000 4.240 0.000
0.000 0.000 2.831
Li Cr Rh
1 2 1
Direct
0.000 0.000 0.000
0.000 0.500 0.500
0.500 0.000 0.500
0.500 0.500 0.000
```

Calculated values
SG = P4/mmm (123)



3.
Density functional theory data (meta-GGA SCAN) for a PBEsol-optimized structure of Li2CrRh.

```
Li2CrRh
1.0
2.554 0.000 0.000
0.000 4.311 0.000
0.000 0.000 4.666
Li Cr Rh
2 1 1
Direct
0.000 0.000 0.241
0.000 0.000 0.759
0.500 0.500 0.500
0.500 0.500 0.000
```

Calculated values
SG = Pmmm (47)



4.
Density functional theory data (meta-GGA SCAN) for a PBEsol-optimized structure of Li2CrRh.

```
Li2CrRh
1.0
1.328 -2.123 0.000
1.328 2.123 0.000
0.000 0.000 9.101
Li Cr Rh
2 1 1
Direct
0.000 0.000 0.240
0.000 0.000 0.760
0.500 0.500 0.500
0.500 0.500 0.000
```

Calculated values
SG = Cmmm (65)



Formation enthalpy at 0 K
In order: -0.001, 0.206, 0.179, 0.222
Unit: eV/atom
Calculated total energy
In order: -14.235, -18.027, -14.055, -14.011
Unit: eV/atom